--- one ---
BiTeO4 | PBE | optimized geometry

abc: 5.0808 5.8382 6.7162
angles: 100.84 112.23 90.00
Atoms (fractional coordinates):
Bi (0.2779, 0.7500, 0.0000)
Bi (0.7221, 0.2500, 0.0000)
Te (0.5000, 0.5000, 0.5000)
Te (0.0000, 0.0000, 0.5000)
O (0.1850, 0.2279, 0.3804)
O (0.1954, 0.7279, 0.3804)
O (0.6821, 0.9616, 0.1901)
O (0.5081, 0.4616, 0.1901)
O (0.3179, 0.0384, 0.8099)
O (0.4919, 0.5384, 0.8099)
O (0.8150, 0.7721, 0.6196)
O (0.8046, 0.2721, 0.6196)

## Properties
**Symmetry**: C2/c, No. 15
**Magnetic moment**: 0.0 μB/cell


--- two ---
BiTeO4 | PBE | optimized geometry

abc: 5.7015 7.0872 10.0328
angles: 72.67 73.49 66.28
Atoms (fractional coordinates):
Bi (0.2259, 0.6037, 0.8417)
Bi (0.0450, 0.7438, 0.2577)
Bi (0.9535, 0.2438, 0.7577)
Bi (0.3288, 0.1037, 0.3417)
Te (0.6387, 0.9310, 0.6196)
Te (0.4902, 0.5055, 0.4959)
Te (0.8107, 0.4310, 0.1196)
Te (0.5084, 0.0055, 0.9959)
O (0.8520, 0.9205, 0.8764)
O (0.7176, 0.9539, 0.4115)
O (0.6555, 0.9936, 0.1540)
O (0.2781, 0.7895, 0.4144)
O (0.6264, 0.5850, 0.6220)
O (0.9171, 0.4539, 0.9115)
O (0.5161, 0.7042, 0.0834)
O (0.1968, 0.4936, 0.6540)
O (0.7954, 0.5044, 0.3454)
O (0.5180, 0.2895, 0.9144)
O (0.0828, 0.5373, 0.0964)
O (0.3511, 0.4205, 0.3764)
O (0.6962, 0.2042, 0.5834)
O (0.3549, 0.0044, 0.8454)
O (0.2836, 0.0373, 0.5964)
O (0.1665, 0.0850, 0.1220)

## Properties
**Symmetry**: Cc, No. 9
**Magnetic moment**: 0.0 μB/cell


--- three ---
BiTeO4 | PBE | optimized geometry

abc: 7.6262 7.4864 9.3376
angles: 72.53 66.82 58.34
Atoms (fractional coordinates):
Bi (0.2749, 0.9293, 0.7540)
Bi (0.5544, 0.9812, 0.1211)
Bi (0.6882, 0.3789, 0.7955)
Bi (0.7833, 0.9353, 0.5165)
Te (0.9059, 0.3215, 0.0977)
Te (0.2040, 0.4594, 0.6703)
Te (0.6966, 0.5888, 0.4028)
Te (0.2512, 0.5589, 0.1605)
O (0.8024, 0.0126, 0.8372)
O (0.6958, 0.2892, 0.0543)
O (0.9475, 0.7150, 0.2040)
O (0.5257, 0.8925, 0.3846)
O (0.0945, 0.5950, 0.4963)
O (0.6282, 0.7461, 0.7006)
O (0.4632, 0.5457, 0.5678)
O (0.3204, 0.6133, 0.9324)
O (0.6375, 0.5962, 0.2170)
O (0.8861, 0.1822, 0.3014)
O (0.2626, 0.2913, 0.1619)
O (0.0140, 0.3149, 0.7734)
O (0.4168, 0.1773, 0.6182)
O (0.8951, 0.0257, 0.6626)
O (0.3357, 0.8855, 0.0885)
O (0.2163, 0.0439, 0.9814)

## Properties
**Symmetry**: P1, No. 1
**Magnetic moment**: 0.0 μB/cell


In order of decreasing stability: two, one, three.


--- one ---
BiTeO4 | PBE | optimized geometry

abc: 7.0609 7.0609 10.4215
angles: 66.97 66.97 47.60
Atoms (fractional coordinates):
Bi (0.0327, 0.9673, 0.5000)
Bi (0.9434, 0.0566, 0.0000)
Bi (0.6761, 0.7717, 0.9031)
Bi (0.2283, 0.3239, 0.0969)
Te (0.5036, 0.4982, 0.7491)
Te (0.5018, 0.4964, 0.2509)
Te (0.3583, 0.1853, 0.6302)
Te (0.8147, 0.6417, 0.3698)
O (0.7954, 0.3482, 0.5936)
O (0.6518, 0.2046, 0.4064)
O (0.1955, 0.6471, 0.9018)
O (0.3529, 0.8045, 0.0982)
O (0.7166, 0.4822, 0.8354)
O (0.5178, 0.2834, 0.1646)
O (0.2972, 0.4871, 0.6651)
O (0.5129, 0.7028, 0.3349)
O (0.9133, 0.7179, 0.1607)
O (0.2821, 0.0867, 0.8393)
O (0.0781, 0.2850, 0.3450)
O (0.7150, 0.9219, 0.6550)
O (0.1552, 0.6401, 0.3670)
O (0.3599, 0.8448, 0.6330)
O (0.8437, 0.3665, 0.1219)
O (0.6335, 0.1563, 0.8781)

## Properties
**Symmetry**: C2, No. 5
**Magnetic moment**: 0.0 μB/cell


--- two ---
BiTeO4 | PBE | optimized geometry

abc: 5.7479 5.7482 7.4405
angles: 90.00 90.00 90.50
Atoms (fractional coordinates):
Bi (0.5815, 0.5815, 0.7500)
Bi (0.4185, 0.4185, 0.2500)
Te (0.1697, 0.1697, 0.7500)
Te (0.8303, 0.8303, 0.2500)
O (0.8683, 0.3198, 0.7500)
O (0.1317, 0.6802, 0.2500)
O (0.3198, 0.8683, 0.7500)
O (0.6802, 0.1317, 0.2500)
O (0.6551, 0.6551, 0.0736)
O (0.3449, 0.3449, 0.5736)
O (0.6551, 0.6551, 0.4264)
O (0.3449, 0.3449, 0.9264)

## Properties
**Symmetry**: Cmcm, No. 63
**Magnetic moment**: 0.0 μB/cell


In order of decreasing stability: one, two.


--- one ---
BiTe2O6 | PBE | optimized geometry

abc: 4.0388 5.6543 7.4422
angles: 71.33 74.26 69.08
Atoms (fractional coordinates):
Bi (0.0000, 0.5000, 0.5000)
Te (0.1863, 0.7817, 0.8457)
Te (0.8137, 0.2183, 0.1543)
O (0.7064, 0.7121, 0.8752)
O (0.2936, 0.2879, 0.1248)
O (0.9658, 0.8474, 0.2210)
O (0.3513, 0.6999, 0.5976)
O (0.0342, 0.1526, 0.7790)
O (0.6487, 0.3001, 0.4024)

## Properties
**Symmetry**: C2/m, No. 12
**Magnetic moment**: 0.0 μB/cell


--- two ---
BiTe2O6 | PBE | optimized geometry

abc: 6.2070 7.3302 7.3302
angles: 102.97 80.81 80.81
Atoms (fractional coordinates):
Bi (0.2500, 0.0870, 0.9130)
Bi (0.7500, 0.9130, 0.0870)
Te (0.3195, 0.5413, 0.7750)
Te (0.1805, 0.2250, 0.4587)
Te (0.6805, 0.4587, 0.2250)
Te (0.8195, 0.7750, 0.5413)
O (0.5526, 0.6898, 0.4829)
O (0.9474, 0.5171, 0.3102)
O (0.4474, 0.3102, 0.5171)
O (0.0526, 0.4829, 0.6898)
O (0.8271, 0.9454, 0.3800)
O (0.6729, 0.6200, 0.0546)
O (0.1729, 0.0546, 0.6200)
O (0.3271, 0.3800, 0.9454)
O (0.1116, 0.8049, 0.9270)
O (0.3884, 0.0730, 0.1951)
O (0.8884, 0.1951, 0.0730)
O (0.6116, 0.9270, 0.8049)

## Properties
**Symmetry**: C2/c, No. 15
**Magnetic moment**: 0.0 μB/cell


In order of decreasing stability: one, two.